Computed, not measured: a relaxed structure of Pu2ZnAs at the PBE-GGA level of DFT.

Properties
Energy relative to the elements = -0.473 eV per atom
Relative energy among the computed polymorphs = 0.000 eV/atom
Crystal system = tetragonal

Lattice parameters (Å, degrees): 4.7380 4.7380 3.9424 90.00 90.00 90.00
Space group P4/mmm (No. 123)
Inequivalent atoms, fractional coordinates:
Pu 0.0000 0.5000 0.0000
Zn 0.0000 0.0000 0.5000
As 0.5000 0.5000 0.5000

Computed, not measured: a relaxed structure of Nd6AsRu2Br3 at the PBE-GGA level of DFT.

Properties
Crystal system = monoclinic
Formation energy (no corrections) = -0.9850 eV/atom

Lattice parameters (Å, degrees): 7.2798 12.6050 8.0371 90.00 107.70 90.00
Space group C2/m (No. 12)
Inequivalent atoms, fractional coordinates:
Nd 0.2146 0.0000 0.1989
Nd 0.2410 0.3243 0.1996
As 0.0000 0.5000 0.0000
Ru 0.0000 0.1672 0.0000
Br 0.0000 0.0000 0.5000
Br 0.0000 0.3370 0.5000

Number 1: DOS(E_F) 13.129 states/eV/f.u.. Number 2: DOS(E_F) 10.161 states/eV/f.u..